[1]
A crystal of Hg3Cl relaxed with PBEsol, computed with SCAN.

## Properties
N(E_F)	1.34	states/eV/cell
E	-426.609	eV/cell

a b c (Å): 9.648 3.902 5.964
angles (deg): 90.00 118.59 90.00
Space group C2/m (No. 12)
Unique sites:
Hg 0.000 0.000 0.000 x2
Hg 0.249 0.500 0.224 x4
Cl 0.000 0.500 0.500 x2



[2]
A crystal of Hg2Cl relaxed with PBEsol, computed with SCAN.

## Properties
N(E_F)	1.66	states/eV/cell
E	-289.649	eV/cell

a b c (Å): 3.505 3.505 11.027
angles (deg): 90.00 90.00 90.00
Space group I4/mmm (No. 139)
Unique sites:
Hg 0.000 0.000 0.172 x4
Cl 0.000 0.000 0.500 x2



[3]
A crystal of Hg3S2ICl relaxed with PBEsol, computed with SCAN.

## Properties
E	-2165.222	eV/cell

a b c (Å): 17.965 9.005 12.991
angles (deg): 90.00 132.11 90.00
Space group C2/m (No. 12)
Unique sites:
Hg 0.000 0.217 0.000 x4
Hg 0.092 0.000 0.712 x4
Hg 0.110 0.500 0.269 x4
Hg 0.231 0.284 0.704 x8
Hg 0.250 0.250 0.000 x4
S 0.114 0.231 0.251 x8
S 0.120 0.265 0.750 x8
I 0.125 0.500 0.005 x4
I 0.134 0.000 0.505 x4
Cl 0.131 0.500 0.505 x4
Cl 0.136 0.000 0.019 x4



[4]
A crystal of HgSb2ICl relaxed with PBEsol, computed with SCAN.

## Properties
N(E_F)	3.52	states/eV/cell
E	-184.553	eV/cell

a b c (Å): 5.510 5.510 5.677
angles (deg): 90.00 90.00 90.00
Space group P4/mmm (No. 123)
Unique sites:
Hg 0.000 0.000 0.000 x1
Sb 0.000 0.500 0.000 x2
I 0.000 0.000 0.500 x1
Cl 0.500 0.500 0.500 x1



[5]
A crystal of HgTe2ICl relaxed with PBEsol, computed with SCAN.

## Properties
N(E_F)	4.31	states/eV/cell
E	-184.923	eV/cell

a b c (Å): 5.547 5.547 5.605
angles (deg): 90.00 90.00 90.00
Space group P4/mmm (No. 123)
Unique sites:
Hg 0.000 0.000 0.000 x1
Te 0.000 0.500 0.000 x2
I 0.000 0.000 0.500 x1
Cl 0.500 0.500 0.500 x1



[6]
A crystal of InHgCl relaxed with PBEsol, computed with SCAN.

## Properties
N(E_F)	0.01	states/eV/cell
E	-111.067	eV/cell

a b c (Å): 4.4887 4.4887 4.9073
angles (deg): 90.00 90.00 120.00
Space group P3m1 (No. 156)
Unique sites:
In 0.0000 0.0000 0.0000 x1
Hg 0.6667 0.3333 0.3201 x1
Cl 0.3333 0.6667 0.7175 x1



[7]
A crystal of InHgCl relaxed with PBEsol, computed with SCAN.

## Properties
N(E_F)	0.60	states/eV/cell
E	-444.006	eV/cell

a b c (Å): 7.106 7.106 7.106
angles (deg): 90.00 90.00 90.00
Space group F-43m (No. 216)
Unique sites:
In 0.000 0.000 0.000 x4
Hg 0.250 0.250 0.250 x4
Cl 0.250 0.250 0.750 x4



[8]
A crystal of In2HgCl2 relaxed with PBEsol, computed with SCAN.

## Properties
E	-308.295	eV/cell

a b c (Å): 4.809 4.809 13.512
angles (deg): 90.00 90.00 90.00
Space group I4/mmm (No. 139)
Unique sites:
In 0.000 0.000 0.133 x4
Hg 0.000 0.000 0.500 x2
Cl 0.000 0.500 0.250 x4



[9]
A crystal of InHgCl relaxed with PBEsol, computed with SCAN.

## Properties
E	-222.126	eV/cell

a b c (Å): 3.636 3.636 11.900
angles (deg): 90.00 90.00 90.00
Space group I4mm (No. 107)
Unique sites:
In 0.000 0.000 0.000 x2
Hg 0.000 0.000 0.320 x2
Cl 0.000 0.000 0.627 x2



[10]
A crystal of InHgCl2 relaxed with PBEsol, computed with SCAN.

## Properties
N(E_F)	5.36	states/eV/cell
E	-356.562	eV/cell

a b c (Å): 3.6710 3.6710 27.8173
angles (deg): 90.00 90.00 120.00
Space group R-3m (No. 166, hexagonal axes)
Unique sites:
In 0.0000 0.0000 0.0000 x3
Hg 0.0000 0.0000 0.5000 x3
Cl 0.0000 0.0000 0.1040 x6



[11]
A crystal of In2HgCl2 relaxed with PBEsol, computed with SCAN.

## Properties
E	-308.388	eV/cell

a b c (Å): 7.953 7.953 4.204
angles (deg): 90.00 90.00 90.00
Space group P4/mbm (No. 127)
Unique sites:
In 0.145 0.355 0.000 x4
Hg 0.000 0.000 0.000 x2
Cl 0.169 0.669 0.500 x4



[12]
A crystal of InHg4Cl relaxed with PBEsol, computed with SCAN.

## Properties
N(E_F)	0.59	states/eV/cell
E	-1259.583	eV/cell

a b c (Å): 8.515 8.515 8.515
angles (deg): 90.00 90.00 90.00
Space group F-43m (No. 216)
Unique sites:
In 0.000 0.000 0.000 x4
Hg 0.125 0.125 0.625 x16
Cl 0.250 0.250 0.250 x4



[13]
A crystal of InHgMoCl2 relaxed with PBEsol, computed with SCAN.

## Properties
N(E_F)	2.67	states/eV/cell
E	-152.920	eV/cell

a b c (Å): 4.593 4.593 5.660
angles (deg): 90.00 90.00 90.00
Space group P4/mmm (No. 123)
Unique sites:
In 0.000 0.000 0.000 x1
Hg 0.500 0.500 0.000 x1
Mo 0.000 0.000 0.500 x1
Cl 0.000 0.500 0.500 x2



[14]
A crystal of InHg2NCl relaxed with PBEsol, computed with SCAN.

## Properties
N(E_F)	2.26	states/eV/cell
E	-184.517	eV/cell

a b c (Å): 5.628 5.628 3.986
angles (deg): 90.00 90.00 90.00
Space group P4/mmm (No. 123)
Unique sites:
In 0.000 0.000 0.000 x1
Hg 0.000 0.500 0.000 x2
N 0.000 0.000 0.500 x1
Cl 0.500 0.500 0.500 x1



[15]
A crystal of Rb2InHgCl6 relaxed with PBEsol, computed with SCAN.

## Properties
N(E_F)	4.69	states/eV/cell
E	-821.640	eV/cell

a b c (Å): 10.565 10.565 10.565
angles (deg): 90.00 90.00 90.00
Space group Fm-3m (No. 225)
Unique sites:
Rb 0.250 0.250 0.250 x8
In 0.000 0.000 0.000 x4
Hg 0.000 0.000 0.500 x4
Cl 0.000 0.000 0.241 x24



[16]
A crystal of InHgS2Cl relaxed with PBEsol, computed with SCAN.

## Properties
N(E_F)	5.28	states/eV/cell
E	-127.783	eV/cell

a b c (Å): 4.928 4.928 5.205
angles (deg): 90.00 90.00 90.00
Space group P4/mmm (No. 123)
Unique sites:
In 0.000 0.000 0.000 x1
Hg 0.500 0.500 0.500 x1
S 0.000 0.500 0.500 x2
Cl 0.500 0.500 0.000 x1



[17]
A crystal of InHgTe2Cl relaxed with PBEsol, computed with SCAN.

## Properties
N(E_F)	5.75	states/eV/cell
E	-182.717	eV/cell

a b c (Å): 5.428 5.428 5.977
angles (deg): 90.00 90.00 90.00
Space group P4/mmm (No. 123)
Unique sites:
In 0.000 0.000 0.000 x1
Hg 0.000 0.000 0.500 x1
Te 0.000 0.500 0.500 x2
Cl 0.500 0.500 0.000 x1



[18]
A crystal of ZrIn2HgCl relaxed with PBEsol, computed with SCAN.

## Properties
N(E_F)	3.88	states/eV/cell
E	-173.945	eV/cell

a b c (Å): 5.681 5.681 4.828
angles (deg): 90.00 90.00 90.00
Space group P4/mmm (No. 123)
Unique sites:
Zr 0.000 0.000 0.000 x1
In 0.000 0.500 0.000 x2
Hg 0.500 0.500 0.500 x1
Cl 0.000 0.000 0.500 x1



[19]
A crystal of HgIrCl2 relaxed with PBEsol, computed with SCAN.

## Properties
N(E_F)	4.37	states/eV/cell
E	-303.778	eV/cell

a b c (Å): 3.732 3.732 10.415
angles (deg): 90.00 90.00 90.00
Space group I-4m2 (No. 119)
Unique sites:
Hg 0.000 0.000 0.000 x2
Ir 0.000 0.500 0.250 x2
Cl 0.000 0.000 0.500 x2
Cl 0.000 0.500 0.750 x2



[20]
A crystal of HgIr3Cl relaxed with PBEsol, computed with SCAN.

## Properties
N(E_F)	4.68	states/eV/cell
E	-280.824	eV/cell

a b c (Å): 4.405 4.405 4.405
angles (deg): 90.00 90.00 90.00
Space group Pm-3m (No. 221)
Unique sites:
Hg 0.000 0.000 0.000 x1
Ir 0.000 0.500 0.500 x3
Cl 0.500 0.500 0.500 x1